Entry from the Alexandria database: a relaxed structure of Mn2GeI6 (GGA-PBE).

Cell lengths 7.286, 7.286, 7.477 Å; angles 90.00, 90.00, 120.00 degrees
Element x y z (fractional)
Mn: 0.333 0.667 0.000
Mn: 0.667 0.333 0.000
Ge: 0.000 0.000 0.000
I: 0.000 0.344 0.223
I: 0.000 0.656 0.777
I: 0.344 0.000 0.223
I: 0.344 0.344 0.777
I: 0.656 0.000 0.777
I: 0.656 0.656 0.223

Values from the calculation:
symmetry	P-31m (162)
electronic total energy	-3.98	eV per atom

---

Entry from the Alexandria database: a relaxed structure of EuHf2H (GGA-PBE).

Cell lengths 3.270, 3.270, 26.230 Å; angles 90.00, 90.00, 120.00 degrees
Element x y z (fractional)
Eu: 0.000 0.000 0.000
Eu: 0.333 0.667 0.667
Eu: 0.667 0.333 0.333
Hf: 0.000 0.000 0.120
Hf: 0.000 0.000 0.880
Hf: 0.333 0.667 0.546
Hf: 0.333 0.667 0.787
Hf: 0.667 0.333 0.213
Hf: 0.667 0.333 0.454
H: 0.000 0.000 0.500
H: 0.333 0.667 0.167
H: 0.667 0.333 0.833

Values from the calculation:
symmetry	R-3m (166)
electronic total energy	-8.20	eV per atom

---

Entry from the Alexandria database: a relaxed structure of MgMnGaSiS (GGA-PBE).

Cell lengths 4.335, 4.456, 4.767 Å; angles 69.72, 85.81, 83.91 degrees
Element x y z (fractional)
Mg: 0.000 0.000 0.000
Mn: 0.517 0.667 0.291
Ga: 0.555 0.680 0.792
Si: 0.449 0.169 0.294
S: 0.026 0.444 0.487

Values from the calculation:
relative energy among the computed polymorphs	0.83	eV per formula unit
symmetry	P1 (1)
electronic total energy	-4.82	eV per atom

---

Entry from the Alexandria database: a relaxed structure of PmBe2GePd2 (GGA-PBE).

Cell lengths 4.197, 4.197, 5.733 Å; angles 90.00, 90.00, 90.00 degrees
Element x y z (fractional)
Pm: 0.000 0.000 0.000
Be: 0.000 0.500 0.500
Be: 0.500 0.000 0.500
Ge: 0.000 0.000 0.500
Pd: 0.500 0.500 0.251
Pd: 0.500 0.500 0.749

Values from the calculation:
symmetry	P4/mmm (123)
electronic total energy	-4.75	eV per atom
energy of formation	-0.219	eV/atom

---

Entry from the Alexandria database: a relaxed structure of HfTi3Cl (GGA-PBE).

Cell lengths 4.508, 4.508, 4.508 Å; angles 90.00, 90.00, 90.00 degrees
Element x y z (fractional)
Hf: 0.000 0.000 0.000
Ti: 0.000 0.500 0.500
Ti: 0.500 0.000 0.500
Ti: 0.500 0.500 0.000
Cl: 0.500 0.500 0.500

Values from the calculation:
relative energy among the computed polymorphs	0.00	eV per formula unit
symmetry	Pm-3m (221)
electronic total energy	-7.17	eV per atom

---

Entry from the Alexandria database: a relaxed structure of LiErPuN3 (GGA-PBE).

Cell lengths 6.753, 3.391, 6.990 Å; angles 90.00, 102.23, 90.00 degrees
Element x y z (fractional)
Li: 0.079 0.250 0.074
Li: 0.921 0.750 0.926
Er: 0.289 0.750 0.822
Er: 0.711 0.250 0.178
Pu: 0.319 0.750 0.326
Pu: 0.681 0.250 0.674
N: 0.014 0.750 0.211
N: 0.362 0.250 0.111
N: 0.367 0.250 0.592
N: 0.633 0.750 0.408
N: 0.638 0.750 0.889
N: 0.986 0.250 0.789

Values from the calculation:
symmetry	P2_1/m (11)
electronic total energy	-8.64	eV per atom

---

Entry from the Alexandria database: a relaxed structure of ScNiAg3 (GGA-PBE).

Cell lengths 5.033, 5.033, 5.033 Å; angles 90.00, 90.00, 90.00 degrees
Element x y z (fractional)
Sc: 0.000 0.000 0.000
Ni: 0.500 0.500 0.500
Ag: 0.000 0.000 0.500
Ag: 0.000 0.500 0.000
Ag: 0.500 0.000 0.000

Values from the calculation:
relative energy among the computed polymorphs	4.33	eV per formula unit
symmetry	Pm-3m (221)
electronic total energy	-2.77	eV per atom
energy of formation	1.361	eV/atom

---

Entry from the Alexandria database: a relaxed structure of NdGd2Pd (GGA-PBE).

Cell lengths 3.774, 3.774, 29.279 Å; angles 90.00, 90.00, 120.00 degrees
Element x y z (fractional)
Nd: 0.000 0.000 0.000
Nd: 0.333 0.667 0.667
Nd: 0.667 0.333 0.333
Gd: 0.000 0.000 0.231
Gd: 0.000 0.000 0.769
Gd: 0.333 0.667 0.436
Gd: 0.333 0.667 0.898
Gd: 0.667 0.333 0.102
Gd: 0.667 0.333 0.564
Pd: 0.000 0.000 0.500
Pd: 0.333 0.667 0.167
Pd: 0.667 0.333 0.833

Values from the calculation:
relative energy among the computed polymorphs	0.39	eV per formula unit
symmetry	R-3m (166)
electronic total energy	-9.82	eV per atom
energy of formation	-0.292	eV/atom

---

Entry from the Alexandria database: a relaxed structure of BaBi2Rh (GGA-PBE).

Cell lengths 11.891, 4.717, 11.894 Å; angles 78.53, 22.88, 78.59 degrees
Element x y z (fractional)
Ba: 0.123 0.877 0.123
Ba: 0.877 0.123 0.877
Bi: 0.311 0.691 0.309
Bi: 0.505 0.971 0.495
Bi: 0.691 0.311 0.689
Bi: 0.971 0.505 0.029
Rh: 0.251 0.251 0.249
Rh: 0.751 0.751 0.749

Values from the calculation:
symmetry	Fmm2 (42)
electronic total energy	-4.76	eV per atom
energy of formation	-0.502	eV/atom

---

Entry from the Alexandria database: a relaxed structure of ZrCr2GeMo (GGA-PBE).

Cell lengths 4.329, 4.329, 4.920 Å; angles 90.00, 90.00, 90.00 degrees
Element x y z (fractional)
Zr: 0.000 0.000 0.000
Cr: 0.000 0.500 0.500
Cr: 0.500 0.000 0.500
Ge: 0.000 0.000 0.500
Mo: 0.500 0.500 0.000

Values from the calculation:
symmetry	P4/mmm (123)
electronic total energy	-7.44	eV per atom
energy of formation	1.212	eV/atom

---

Entry from the Alexandria database: a relaxed structure of ThMnSi3Rh (GGA-PBE).

Cell lengths 6.539, 6.539, 5.656 Å; angles 90.00, 90.00, 114.85 degrees
Element x y z (fractional)
Th: 0.235 0.765 0.750
Th: 0.765 0.235 0.250
Mn: 0.037 0.963 0.250
Mn: 0.963 0.037 0.750
Si: 0.231 0.769 0.250
Si: 0.247 0.247 0.000
Si: 0.247 0.247 0.500
Si: 0.753 0.753 0.000
Si: 0.753 0.753 0.500
Si: 0.769 0.231 0.750
Rh: 0.431 0.569 0.250
Rh: 0.569 0.431 0.750

Values from the calculation:
symmetry	Cmcm (63)
electronic total energy	-7.11	eV per atom

---

Entry from the Alexandria database: a relaxed structure of Ce2NdNi (GGA-PBE).

Cell lengths 3.541, 3.541, 8.299 Å; angles 90.00, 90.00, 90.00 degrees
Element x y z (fractional)
Ce: 0.000 0.000 0.177
Ce: 0.000 0.000 0.823
Nd: 0.500 0.500 0.500
Ni: 0.500 0.500 0.000

Values from the calculation:
relative energy among the computed polymorphs	0.00	eV per formula unit
symmetry	P4/mmm (123)
electronic total energy	-5.68	eV per atom
energy of formation	-0.072	eV/atom

---

Entry from the Alexandria database: a relaxed structure of RbTe2Pd (GGA-PBE).

Cell lengths 4.216, 4.216, 24.830 Å; angles 90.00, 90.00, 120.00 degrees
Element x y z (fractional)
Rb: 0.000 0.000 0.000
Rb: 0.333 0.667 0.667
Rb: 0.667 0.333 0.333
Te: 0.000 0.000 0.222
Te: 0.000 0.000 0.446
Te: 0.333 0.667 0.113
Te: 0.333 0.667 0.888
Te: 0.667 0.333 0.555
Te: 0.667 0.333 0.779
Pd: 0.000 0.000 0.833
Pd: 0.333 0.667 0.500
Pd: 0.667 0.333 0.167

Values from the calculation:
symmetry	R3m (160)
electronic total energy	-3.58	eV per atom

---

Entry from the Alexandria database: a relaxed structure of TiNbCr4 (GGA-PBE).

Cell lengths 4.882, 4.882, 4.882 Å; angles 60.00, 60.00, 60.00 degrees
Element x y z (fractional)
Ti: 0.000 0.000 0.000
Nb: 0.250 0.250 0.250
Cr: 0.125 0.625 0.625
Cr: 0.625 0.125 0.625
Cr: 0.625 0.625 0.125
Cr: 0.625 0.625 0.625

Values from the calculation:
symmetry	F-43m (216)
electronic total energy	-9.52	eV per atom
energy of formation	-0.112	eV/atom

---

Entry from the Alexandria database: a relaxed structure of Tl5In3Hg3 (GGA-PBE).

Cell lengths 10.641, 10.641, 3.426 Å; angles 90.00, 90.00, 120.00 degrees
Element x y z (fractional)
Tl: 0.000 0.344 0.000
Tl: 0.333 0.667 0.000
Tl: 0.344 0.000 0.000
Tl: 0.656 0.656 0.000
Tl: 0.667 0.333 0.000
In: 0.000 0.603 0.500
In: 0.397 0.397 0.500
In: 0.603 0.000 0.500
Hg: 0.000 0.836 0.000
Hg: 0.164 0.164 0.000
Hg: 0.836 0.000 0.000

Values from the calculation:
symmetry	P-62m (189)
electronic total energy	-1.84	eV per atom
energy of formation	0.069	eV/atom

---

Entry from the Alexandria database: a relaxed structure of Ce8Bi2Ir3 (GGA-PBE).

Cell lengths 9.136, 9.136, 6.975 Å; angles 104.32, 104.32, 52.36 degrees
Element x y z (fractional)
Ce: 0.098 0.098 0.398
Ce: 0.148 0.650 0.100
Ce: 0.350 0.852 0.900
Ce: 0.399 0.399 0.592
Ce: 0.601 0.601 0.408
Ce: 0.650 0.148 0.100
Ce: 0.852 0.350 0.900
Ce: 0.902 0.902 0.602
Bi: 0.251 0.251 0.832
Bi: 0.749 0.749 0.168
Ir: 0.000 0.000 0.000
Ir: 0.253 0.747 0.500
Ir: 0.747 0.253 0.500

Values from the calculation:
symmetry	C2/m (12)
electronic total energy	-6.73	eV per atom
energy of formation	-0.434	eV/atom

---

Entry from the Alexandria database: a relaxed structure of NaY2P (GGA-PBE).

Cell lengths 3.837, 3.837, 30.965 Å; angles 90.00, 90.00, 120.00 degrees
Element x y z (fractional)
Na: 0.000 0.000 0.000
Na: 0.333 0.667 0.667
Na: 0.667 0.333 0.333
Y: 0.000 0.000 0.116
Y: 0.000 0.000 0.884
Y: 0.333 0.667 0.551
Y: 0.333 0.667 0.782
Y: 0.667 0.333 0.218
Y: 0.667 0.333 0.449
P: 0.000 0.000 0.500
P: 0.333 0.667 0.167
P: 0.667 0.333 0.833

Values from the calculation:
symmetry	R-3m (166)
electronic total energy	-5.51	eV per atom
energy of formation	-0.598	eV/atom

---

Entry from the Alexandria database: a relaxed structure of Al2ZnHg (GGA-PBE).

Cell lengths 3.041, 3.041, 7.896 Å; angles 90.00, 90.00, 90.00 degrees
Element x y z (fractional)
Al: 0.000 0.000 0.000
Al: 0.500 0.500 0.230
Zn: 0.500 0.500 0.779
Hg: 0.000 0.000 0.507

Values from the calculation:
relative energy among the computed polymorphs	0.15	eV per formula unit
symmetry	P4mm (99)
electronic total energy	-2.13	eV per atom
energy of formation	0.135	eV/atom

---

Entry from the Alexandria database: a relaxed structure of Sm3U2S8 (GGA-PBE).

Cell lengths 8.138, 8.138, 6.722 Å; angles 107.55, 107.55, 59.02 degrees
Element x y z (fractional)
Sm: 0.000 0.000 0.000
Sm: 0.263 0.737 0.500
Sm: 0.737 0.263 0.500
U: 0.263 0.263 0.841
U: 0.737 0.737 0.159
S: 0.100 0.642 0.081
S: 0.120 0.120 0.436
S: 0.358 0.900 0.919
S: 0.392 0.392 0.625
S: 0.608 0.608 0.375
S: 0.642 0.100 0.081
S: 0.880 0.880 0.564
S: 0.900 0.358 0.919

Values from the calculation:
symmetry	C2/m (12)
electronic total energy	-7.02	eV per atom

---

Entry from the Alexandria database: a relaxed structure of LaMgSb (GGA-PBE).

Cell lengths 3.513, 3.513, 8.157 Å; angles 90.00, 90.00, 120.00 degrees
Element x y z (fractional)
La: 0.000 0.000 0.000
Mg: 0.667 0.333 0.366
Sb: 0.333 0.667 0.662

Values from the calculation:
relative energy among the computed polymorphs	1.56	eV per formula unit
symmetry	P3m1 (156)
electronic total energy	-3.74	eV per atom